Arrangement a

Density functional theory data (PBE) for an optimized crystal structure of YSiSb3.

- D(E_F) (states/eV/atom) = 0.95
- space group = No. 221

a = 5.222 Å, b = 5.222 Å, c = 5.222 Å
α = 90.00°, β = 90.00°, γ = 90.00°
Atoms (fractional coordinates):
Y 0.500 0.500 0.500
Si 0.000 0.000 0.000
Sb 0.000 0.500 0.000
Sb 0.000 0.000 0.500
Sb 0.500 0.000 0.000

---

Arrangement b

Density functional theory data (PBE) for an optimized crystal structure of YSiSb3.

- D(E_F) (states/eV/atom) = 0.99
- space group = No. 221

a = 5.727 Å, b = 5.727 Å, c = 5.727 Å
α = 90.00°, β = 90.00°, γ = 90.00°
Atoms (fractional coordinates):
Y 0.000 0.000 0.000
Sb 0.000 0.500 0.000
Si 0.500 0.500 0.500
Sb 0.500 0.000 0.000
Sb 0.000 0.000 0.500

---

Consider the structures shown above. The least stable of them is arrangement b.